Entry 1:
NiI4N2 after structural relaxation. Source: Alexandria, functional PBE-GGA.

Cell and atoms, written as POSCAR:
```
NiI4N2
1.0
3.7734 0.0000 0.0000
1.6419 6.7972 0.0000
0.1745 1.3122 8.0825
Ni I N
1 4 2
Cartesian
0.0000 0.0000 0.0000 Ni
1.6525 5.0677 2.8641 I
1.8862 1.3680 1.0135 I
3.7037 6.7413 7.0689 I
3.9373 3.0417 5.2184 I
1.7076 4.1853 5.4111 N
3.8822 3.9240 2.6714 N
```

## Properties
Its formation energy from raw total energies is 0.968 eV per atom.



Entry 2:
Ba2SrMn after structural relaxation. Source: Alexandria, functional PBE-GGA.

Cell and atoms, written as POSCAR:
```
Ba2SrMn
1.0
2.1708 1.2533 12.0346
-2.1708 1.2533 12.0346
0.0000 -2.5067 12.0346
Ba Sr Mn
2 1 1
Cartesian
0.0000 0.0000 8.2559 Ba
0.0000 0.0000 27.8479 Ba
0.0000 0.0000 0.0000 Sr
0.0000 0.0000 18.0519 Mn
```

## Properties
For the formation energy, the calculation gives 435 meV/atom. As for the relative energy among the computed polymorphs: 114 meV per atom.



Entry 3:
InCoSb2 after structural relaxation. Source: Alexandria, functional PBE-GGA.

Cell and atoms, written as POSCAR:
```
InCoSb2
1.0
-3.1105 3.1105 5.9973
3.1105 -3.1105 5.9973
3.1105 3.1105 -5.9973
In Co Sb
2 2 4
Cartesian
0.0000 0.0000 0.0000 In
0.0000 3.1105 2.9987 In
3.1105 0.0000 2.9987 Co
0.0000 0.0000 5.9973 Co
1.5553 -1.1070 4.4980 Sb
2.0035 1.5553 1.4993 Sb
1.5553 4.2175 -1.4993 Sb
1.1070 1.5553 7.4966 Sb
```

## Properties
Its formation energy from raw total energies is 0.182 eV per atom.



Entry 4:
Te3SeI after structural relaxation. Source: Alexandria, functional PBE-GGA.

Cell and atoms, written as POSCAR:
```
Te3SeI
1.0
5.8661 0.0000 0.0000
0.0000 5.8661 0.0000
0.0000 0.0000 5.8661
Te Se I
3 1 1
Cartesian
0.0000 0.0000 2.9330 Te
0.0000 2.9330 0.0000 Te
2.9330 0.0000 0.0000 Te
2.9330 2.9330 2.9330 Se
0.0000 0.0000 0.0000 I
```

## Properties
Its formation energy from raw total energies is 1.092 eV per atom. As for the relative energy among the computed polymorphs: 832 meV per atom.



Entry 5:
TbZrBi2 after structural relaxation. Source: Alexandria, functional PBE-GGA.

Cell and atoms, written as POSCAR:
```
TbZrBi2
1.0
2.1307 1.2302 7.5552
-2.1307 1.2302 7.5552
0.0000 -2.4603 7.5552
Tb Zr Bi
1 1 2
Cartesian
0.0000 0.0000 0.0000 Tb
0.0000 0.0000 3.8754 Zr
0.0000 0.0000 9.5873 Bi
0.0000 0.0000 13.2084 Bi
```

## Properties
For the formation energy, the calculation gives -495 meV/atom. As for the relative energy among the computed polymorphs: 30 meV per atom.



Entry 6:
PrMn2SiC after structural relaxation. Source: Alexandria, functional PBE-GGA.

Cell and atoms, written as POSCAR:
```
PrMn2SiC
1.0
1.9412 -5.3577 0.0000
1.9412 5.3577 0.0000
0.0000 0.0000 7.0898
Pr Mn Si C
2 4 2 2
Cartesian
1.9412 4.8523 5.3173 Pr
1.9412 -4.8523 1.7724 Pr
1.9412 1.7979 3.9961 Mn
1.9412 1.7979 6.6385 Mn
1.9412 -1.7979 0.4512 Mn
1.9412 -1.7979 3.0936 Mn
1.9412 2.8680 1.7724 Si
1.9412 -2.8680 5.3173 Si
1.9412 0.0000 0.0000 C
1.9412 0.0000 3.5449 C
```

## Properties
Its formation energy from raw total energies is -0.378 eV per atom.



Entry 7:
BeRe2Tc2 after structural relaxation. Source: Alexandria, functional PBE-GGA.

Cell and atoms, written as POSCAR:
```
BeRe2Tc2
1.0
7.4569 0.0000 0.0000
0.0000 7.4569 0.0000
0.0000 0.0000 2.8017
Be Re Tc
2 4 4
Cartesian
0.0000 0.0000 0.0000 Be
3.7285 3.7285 0.0000 Be
1.2091 2.5194 1.4008 Re
2.5194 6.2478 1.4008 Re
4.9376 1.2091 1.4008 Re
6.2478 4.9376 1.4008 Re
0.9833 4.7118 0.0000 Tc
2.7451 0.9833 0.0000 Tc
4.7118 6.4736 0.0000 Tc
6.4736 2.7451 0.0000 Tc
```

## Properties
For the formation energy, the calculation gives 498 meV/atom. As for the relative energy among the computed polymorphs: 0 meV per atom.



Entry 8:
InRh5Se8 after structural relaxation. Source: Alexandria, functional PBE-GGA.

Cell and atoms, written as POSCAR:
```
InRh5Se8
1.0
9.7816 -1.8574 0.0000
9.7816 1.8574 0.0000
-2.4785 0.0000 8.3923
In Rh Se
1 5 8
Cartesian
0.0000 0.0000 0.0000 In
2.7720 0.0000 3.8994 Rh
2.7612 0.0000 6.9318 Rh
9.4172 0.0000 4.2591 Rh
16.0219 0.0000 1.5278 Rh
16.0086 0.0000 4.5117 Rh
0.8228 0.0000 5.3650 Se
5.1387 0.0000 2.9457 Se
7.1452 0.0000 0.1321 Se
7.3322 0.0000 5.7363 Se
11.4304 0.0000 2.6960 Se
11.6574 0.0000 8.3219 Se
13.6412 0.0000 5.4406 Se
18.0366 0.0000 3.0947 Se
```

## Properties
Its formation energy from raw total energies is -0.374 eV per atom.